Entry 1:
## MgH12Cl2O6 (PBE)

Data for a relaxed MgH12Cl2O6 crystal. Values from VASP.

Values from the calculation:
uncorrected energy: -100.20 eV for the cell shown
volume: 216 Å³/cell
M_tot: 0.00 μB per formula unit
DOS at the Fermi energy: 0.000 states/eV/f.u.

```
&SYSTEM
  ibrav = 0, nat = 21, ntyp = 4
/
ATOMIC_SPECIES
H 1.01 H.upf
O 16.00 O.upf
Cl 35.45 Cl.upf
Mg 24.30 Mg.upf
CELL_PARAMETERS angstrom
6.076 -0.006 0.063
1.915 5.767 0.063
0.392 0.282 6.175
ATOMIC_POSITIONS crystal
H 0.916 0.312 0.317
O 0.796 0.796 0.113
H 0.671 0.274 0.284
H 0.329 0.726 0.716
H 0.726 0.329 0.716
H 0.722 0.722 0.018
H 0.688 0.084 0.683
Cl 0.312 0.312 0.389
O 0.170 0.749 0.779
O 0.749 0.170 0.779
O 0.204 0.204 0.887
H 0.278 0.278 0.982
Mg 0.000 0.000 0.000
Cl 0.688 0.688 0.611
H 0.274 0.671 0.284
H 0.244 0.244 0.735
H 0.756 0.756 0.265
H 0.084 0.688 0.683
O 0.830 0.251 0.221
O 0.251 0.830 0.221
H 0.312 0.916 0.317
```

***

Entry 2:
## NaBe2Rh (PBE)

Data for a relaxed NaBe2Rh crystal. Values from VASP.

Values from the calculation:
uncorrected energy: -15.33 eV for the cell shown
volume: 49 Å³/cell
E_form: 0.197 eV per atom
offset from the most stable computed form: 0.00 kJ per mole of atoms
M_tot: 0.00 μB per formula unit
DOS at the Fermi energy: 1.390 states/eV/f.u.

```
&SYSTEM
  ibrav = 0, nat = 4, ntyp = 3
/
ATOMIC_SPECIES
Be 9.01 Be.upf
Rh 102.91 Rh.upf
Na 22.99 Na.upf
CELL_PARAMETERS angstrom
0.671 -0.350 4.048
-1.123 3.038 2.544
-3.170 -0.536 2.574
ATOMIC_POSITIONS crystal
Be 0.250 0.250 0.250
Rh 0.500 0.500 0.500
Be 0.750 0.750 0.750
Na 0.000 0.000 0.000
```

***

Entry 3:
## BeAgMo2 (PBE)

Data for a relaxed BeAgMo2 crystal. Values from VASP.

Values from the calculation:
uncorrected energy: -26.65 eV for the cell shown
volume: 59 Å³/cell
E_form: 0.397 eV per atom
M_tot: 0.00 μB per formula unit
DOS at the Fermi energy: 2.629 states/eV/f.u.

```
&SYSTEM
  ibrav = 0, nat = 4, ntyp = 3
/
ATOMIC_SPECIES
Mo 95.94 Mo.upf
Be 9.01 Be.upf
Ag 107.87 Ag.upf
CELL_PARAMETERS angstrom
4.919 0.002 0.000
1.785 4.583 0.000
-2.825 -3.063 2.614
ATOMIC_POSITIONS crystal
Mo 0.007 0.007 0.000
Be 0.255 0.755 0.500
Ag 0.475 0.475 0.000
Mo 0.763 0.263 0.500
```

***

Entry 4:
## Pm8Pr5Sc (PBE)

Data for a relaxed Pm8Pr5Sc crystal. Values from VASP.

Values from the calculation:
uncorrected energy: -64.84 eV for the cell shown
volume: 489 Å³/cell
E_form: 0.242 eV per atom
M_tot: 0.00 μB per formula unit
DOS at the Fermi energy: 20.973 states/eV/f.u.

```
&SYSTEM
  ibrav = 0, nat = 14, ntyp = 3
/
ATOMIC_SPECIES
Pr 140.91 Pr.upf
Pm 145.00 Pm.upf
Sc 44.96 Sc.upf
CELL_PARAMETERS angstrom
-4.910 4.910 5.073
4.910 -4.910 5.073
4.910 4.910 -5.073
ATOMIC_POSITIONS crystal
Pr 0.500 0.500 0.000
Pr 0.023 0.709 0.894
Pm 0.522 0.919 0.263
Pr 0.291 0.185 0.314
Pr 0.871 0.977 0.686
Pr 0.815 0.129 0.106
Pm 0.171 0.444 0.109
Pm 0.335 0.062 0.891
Pm 0.656 0.259 0.737
Pm 0.556 0.665 0.727
Sc 0.250 0.750 0.500
Pm 0.938 0.829 0.273
Pm 0.741 0.478 0.398
Pm 0.081 0.344 0.602
```

***

Entry 5:
## CaErGaPb (PBE)

Data for a relaxed CaErGaPb crystal. Values from VASP.

Values from the calculation:
uncorrected energy: -14.95 eV for the cell shown
volume: 106 Å³/cell
E_form: -0.412 eV per atom
M_tot: 0.00 μB per formula unit
DOS at the Fermi energy: 1.910 states/eV/f.u.

```
&SYSTEM
  ibrav = 0, nat = 4, ntyp = 4
/
ATOMIC_SPECIES
Pb 207.20 Pb.upf
Er 167.26 Er.upf
Ga 69.72 Ga.upf
Ca 40.08 Ca.upf
CELL_PARAMETERS angstrom
5.305 0.000 0.000
2.652 4.594 0.000
2.652 1.531 4.331
ATOMIC_POSITIONS crystal
Pb 0.250 0.250 0.250
Er 0.000 0.000 0.000
Ga 0.750 0.750 0.750
Ca 0.500 0.500 0.500
```

***

Entry 6:
## LiCdOF (PBE)

Data for a relaxed LiCdOF crystal. Values from VASP.

Values from the calculation:
uncorrected energy: -16.81 eV for the cell shown
volume: 49 Å³/cell
raw formation energy: -173 kJ per mole of atoms
M_tot: 0.00 μB per formula unit

```
&SYSTEM
  ibrav = 0, nat = 4, ntyp = 4
/
ATOMIC_SPECIES
O 16.00 O.upf
F 19.00 F.upf
Li 6.94 Li.upf
Cd 112.41 Cd.upf
CELL_PARAMETERS angstrom
3.299 0.000 0.000
1.650 2.857 0.000
1.650 0.952 5.184
ATOMIC_POSITIONS crystal
O 0.254 0.254 0.238
F 0.743 0.743 0.772
Li 0.992 0.992 0.025
Cd 0.512 0.512 0.465
```